Below is crystalline Sr2MnAu at its relaxed geometry, with properties calculated at the PBE level.

**N(E_F)**: 3.26 states/eV/cell
**Calculated volume**: 116.46 Å³/cell

Cell: 3.9183 3.8969 8.5599 Å, 63.01 90.00 90.00°
Fractional positions:
Au 0.5000 0.2500 0.2500
Mn 0.5000 0.7500 0.7500
Sr 0.0000 0.9926 0.0074
Sr 0.0000 0.5074 0.4926

=====

Below is crystalline Sr2MnAu at its relaxed geometry, with properties calculated at the PBE level.

**N(E_F)**: 3.77 states/eV/cell
**Calculated volume**: 120.00 Å³/cell

Cell: 6.6697 6.6697 5.3283 Å, 66.56 66.56 33.82°
Fractional positions:
Au 0.5338 0.5338 0.4672
Mn 0.1907 0.1907 0.3086
Sr 0.9922 0.9922 0.0082
Sr 0.7833 0.7833 0.7160

=====

Below is crystalline SrMnAu at its relaxed geometry, with properties calculated at the PBE level.

**N(E_F)**: 3.51 states/eV/cell
**Calculated volume**: 93.47 Å³/cell

Cell: 5.0941 5.0941 5.0941 Å, 60.00 60.00 60.00°
Fractional positions:
Au 0.0000 0.0000 0.0000
Mn 0.5000 0.5000 0.5000
Sr 0.2500 0.2500 0.2500

=====

Below is crystalline Sr2MnAu at its relaxed geometry, with properties calculated at the PBE level.

**N(E_F)**: 3.50 states/eV/cell
**Calculated volume**: 123.96 Å³/cell

Cell: 3.7418 3.7418 8.8535 Å, 90.00 90.00 89.99°
Fractional positions:
Au 0.0000 0.0000 0.5667
Mn 0.5000 0.5000 0.6761
Sr 0.0000 0.0000 0.9330
Sr 0.5000 0.5000 0.3242

=====

E_form values, unit meV per atom, following the record order: -39; -39; 563; -22.